1.
DFT (PBE) results for a geometry-optimized Sc6Co2Sb structure.

Output
N(E_F): 13.01 states/eV per cell
Total moment: 0.0 μB/cell
Electronic total energy: -120.55 eV per cell
Formation energy from raw total energies: -0.439 eV/atom
Space-group type: Immm (71)

```
Sc6Co2Sb
1.0
-3.319 -3.878 -5.904
1.165 -4.730 6.097
-4.593 5.782 2.525
Sc Co Sb
12 4 2
Direct
0.528 0.813 0.715 Sc
0.472 0.187 0.285 Sc
0.098 0.813 0.285 Sc
0.902 0.187 0.715 Sc
0.786 0.023 0.236 Sc
0.214 0.977 0.764 Sc
0.214 0.450 0.236 Sc
0.786 0.550 0.764 Sc
0.690 0.324 0.014 Sc
0.310 0.676 0.986 Sc
0.310 0.324 0.634 Sc
0.690 0.676 0.366 Sc
0.500 0.120 0.620 Co
0.500 0.880 0.380 Co
0.657 0.657 0.000 Co
0.343 0.343 0.000 Co
0.000 0.500 0.500 Sb
0.000 0.000 0.000 Sb
```

=====

2.
DFT (PBE) results for a geometry-optimized Sc2CoSb structure.

Output
N(E_F): 2.98 states/eV per cell
Total moment: 0.7 μB/cell
Electronic total energy: -25.57 eV per cell
Formation energy from raw total energies: -0.419 eV/atom
Space-group type: Pmmm (47)

```
Sc2CoSb
1.0
-3.227 1.576 0.246
-1.426 -2.974 0.339
-0.737 -2.565 6.773
Co Sb Sc
1 1 2
Direct
0.500 0.250 0.250 Co
0.500 0.750 0.750 Sb
0.000 0.976 0.025 Sc
0.000 0.524 0.475 Sc
```

=====

3.
DFT (PBE) results for a geometry-optimized Sc12Co5Sb structure.

Output
N(E_F): 11.98 states/eV per cell
Total moment: 0.0 μB/cell
Electronic total energy: -122.66 eV per cell
Formation energy from raw total energies: -0.391 eV/atom
Space-group type: Immm (71)

```
Sc12Co5Sb
1.0
0.541 -5.778 -5.050
6.746 1.217 3.494
-5.061 -1.616 5.565
Sc Co Sb
12 5 1
Direct
0.542 0.819 0.723 Sc
0.458 0.181 0.277 Sc
0.904 0.181 0.723 Sc
0.096 0.819 0.277 Sc
0.691 0.679 0.370 Sc
0.309 0.321 0.630 Sc
0.309 0.679 0.988 Sc
0.691 0.321 0.012 Sc
0.805 0.583 0.777 Sc
0.195 0.417 0.223 Sc
0.195 0.972 0.777 Sc
0.805 0.028 0.223 Sc
0.654 0.654 0.000 Co
0.346 0.346 0.000 Co
0.500 0.120 0.620 Co
0.500 0.880 0.380 Co
0.000 0.000 0.000 Co
0.000 0.500 0.500 Sb
```